The following is a PBE-GGA calculation of crystalline TbZn2Hg at its relaxed geometry, from Alexandria via LeMat-Bulk.

Cell lengths 3.6318, 20.3891, 4.5341 Å; angles 90.00, 90.00, 90.00 degrees
Space group Cmcm (No. 63)
Asymmetric unit:
Tb 0.0000 0.0960 0.2500
Zn 0.0000 0.2643 0.7500
Zn 0.0000 0.4728 0.2500
Hg 0.0000 0.3402 0.2500

Values from the calculation:
Energy (eV for the cell shown): -34.6
E_form (eV per atom): -0.2947
Total magnetic moment (μB per cell): 0.000
Calculated density (g cm⁻³): 9.70
D(E_F) (states/eV per cell): 8.88
Excess energy over the best structure of this formula in the dataset (eV/atom): 0.000



The following is a PBE-GGA calculation of crystalline KPmAg10 at its relaxed geometry, from Alexandria via LeMat-Bulk.

Cell lengths 4.6991, 5.6528, 9.9323 Å; angles 90.00, 90.00, 90.00 degrees
Space group Pmmm (No. 47)
Asymmetric unit:
K 0.0000 0.0000 0.0000
Pm 0.0000 0.5000 0.5000
Ag 0.0000 0.0000 0.3399
Ag 0.0000 0.5000 0.1762
Ag 0.5000 0.0000 0.5000
Ag 0.5000 0.2560 0.2589
Ag 0.5000 0.5000 0.0000

Values from the calculation:
Energy (eV for the cell shown): -34.9
E_form (eV per atom): -0.0465
Total magnetic moment (μB per cell): 0.000
Calculated density (g cm⁻³): 7.95
D(E_F) (states/eV per cell): 6.15



Question: Look up the calculated density of the first one.
Answer: 9.70 g cm⁻³



Question: Among the records above, which one has the highest E_form?
Answer: KPmAg10



Question: total magnetic moment of number 1 (TbZn2Hg)?
Answer: 0.000 μB per cell